No. 1
VASP calculation (PBE) on a relaxed TbYEr5Tm2 crystal.

Properties
- V: 572 Å³/cell
- Formation energy: 0.17 eV/atom
- Total magnetic moment: 0.000 μB per atom
- Space group: Cmc2_1 (36)

Cell lengths 5.5452, 10.2347, 10.4663 Å; angles 90.00, 90.00, 105.72 degrees
Atoms (fractional coordinates):
Er 0.9825 0.9649 0.5253
Er 0.0175 0.0351 0.0253
Er 0.3910 0.7820 0.0237
Er 0.6090 0.2180 0.5237
Er 0.3003 0.6007 0.7088
Er 0.2806 0.5612 0.3082
Er 0.5218 0.0436 0.2373
Er 0.6997 0.3993 0.2088
Er 0.7194 0.4388 0.8082
Er 0.4782 0.9564 0.7373
Tm 0.1127 0.2254 0.3175
Tm 0.8873 0.7746 0.8175
Tm 0.8903 0.7806 0.2379
Tm 0.1097 0.2194 0.7379
Y 0.4134 0.8268 0.4534
Y 0.5866 0.1732 0.9534
Tb 0.1997 0.3994 0.0119
Tb 0.8003 0.6006 0.5119

---

No. 2
VASP calculation (PBE) on a relaxed TbY3ErTm crystal.

Properties
- V: 378 Å³/cell
- Formation energy: 0.02 eV/atom
- Total magnetic moment: 0.000 μB per atom
- Space group: Cmcm (63)

Cell lengths 5.0123, 7.9300, 10.0203 Å; angles 90.00, 90.00, 108.42 degrees
Atoms (fractional coordinates):
Y 0.1662 0.3325 0.7500
Y 0.6661 0.3321 0.4997
Y 0.3339 0.6679 0.5003
Y 0.6661 0.3321 0.0003
Y 0.3339 0.6679 0.9997
Y 0.8338 0.6675 0.2500
Tb 0.0000 0.0000 0.0000
Tb 0.0000 0.0000 0.5000
Er 0.1653 0.3306 0.2500
Er 0.8347 0.6694 0.7500
Tm 0.4994 0.9988 0.7500
Tm 0.5006 0.0012 0.2500

---

No. 3
VASP calculation (PBE) on a relaxed Tb6YEr3Tm2 crystal.

Properties
- V: 374 Å³/cell
- Formation energy: 0.02 eV/atom
- Total magnetic moment: 0.000 μB per atom
- Space group: C2/m (12)

Cell lengths 6.1249, 6.1249, 11.6946 Å; angles 94.99, 94.99, 119.95 degrees
Atoms (fractional coordinates):
Tm 0.6667 0.3333 0.0000
Tm 0.3333 0.6667 0.0000
Tb 0.4184 0.0840 0.2504
Tb 0.0840 0.4184 0.2504
Tb 0.2504 0.2504 0.7496
Tb 0.7496 0.7496 0.2504
Tb 0.5816 0.9160 0.7496
Tb 0.9160 0.5816 0.7496
Er 0.1668 0.8332 0.5000
Er 0.5000 0.5000 0.5000
Er 0.8332 0.1668 0.5000
Y 0.0000 0.0000 0.0000

---

No. 4
VASP calculation (PBE) on a relaxed Tb2YErTm crystal.

Properties
- V: 340 Å³/cell
- Formation energy: 0.41 eV/atom
- Total magnetic moment: 0.000 μB per atom
- Space group: Cmcm (63)

Cell lengths 7.1890, 8.3115, 7.0499 Å; angles 126.12, 90.00, 90.00 degrees
Atoms (fractional coordinates):
Y 0.2500 0.2668 0.5336
Y 0.7500 0.7332 0.4664
Tb 0.0000 0.3073 0.0000
Tb 0.5000 0.6927 0.0000
Tb 0.5000 0.3073 0.0000
Tb 0.0000 0.6927 0.0000
Er 0.2500 0.7166 0.4332
Er 0.7500 0.2834 0.5668
Tm 0.7500 0.0127 0.0254
Tm 0.2500 0.9873 0.9746

---

No. 5
VASP calculation (PBE) on a relaxed Tb6YErTm2 crystal.

Properties
- V: 639 Å³/cell
- Formation energy: 0.12 eV/atom
- Total magnetic moment: 0.000 μB per atom
- Space group: C2/c (15)

Cell lengths 9.4957, 8.7679, 8.7679 Å; angles 118.05, 93.67, 93.67 degrees
Atoms (fractional coordinates):
Er 0.2500 0.4099 0.5901
Er 0.7500 0.5901 0.4099
Tb 0.3149 0.9829 0.4330
Tb 0.5548 0.7540 0.1244
Tb 0.1196 0.7102 0.4961
Tb 0.9452 0.8756 0.2460
Tb 0.8804 0.2898 0.5039
Tb 0.1851 0.5670 0.0171
Tb 0.6196 0.4961 0.7102
Tb 0.3804 0.5039 0.2898
Tb 0.4452 0.2460 0.8756
Tb 0.8149 0.4330 0.9829
Tb 0.6851 0.0171 0.5670
Tb 0.0548 0.1244 0.7540
Tm 0.5444 0.1985 0.3055
Tm 0.9556 0.6945 0.8015
Tm 0.4556 0.8015 0.6945
Tm 0.0444 0.3055 0.1985
Y 0.2500 0.9760 0.0240
Y 0.7500 0.0240 0.9760

---

No. 6
VASP calculation (PBE) on a relaxed Tb2YEr5Tm crystal.

Properties
- V: 568 Å³/cell
- Formation energy: 0.30 eV/atom
- Total magnetic moment: 0.000 μB per atom
- Space group: I4/mcm (140)

Cell lengths 8.7516, 8.7516, 9.6609 Å; angles 116.93, 116.93, 90.00 degrees
Atoms (fractional coordinates):
Tm 0.7500 0.2500 0.5000
Tm 0.2500 0.7500 0.5000
Er 0.9283 0.4283 0.2699
Er 0.1584 0.0717 0.7301
Er 0.4283 0.3416 0.2699
Er 0.0717 0.5717 0.7301
Er 0.3416 0.8416 0.2699
Er 0.6584 0.1584 0.7301
Er 0.8416 0.9283 0.2699
Er 0.5717 0.6584 0.7301
Er 0.5000 0.5000 0.0000
Er 0.0000 0.0000 0.0000
Tb 0.6144 0.1144 0.0000
Tb 0.8856 0.6144 0.0000
Tb 0.1144 0.3856 0.0000
Tb 0.3856 0.8856 0.0000
Y 0.7500 0.7500 0.5000
Y 0.2500 0.2500 0.5000

---

No. 7
VASP calculation (PBE) on a relaxed Tb6Y2Er3Tm crystal.

Properties
- V: 377 Å³/cell
- Formation energy: 0.02 eV/atom
- Total magnetic moment: 0.000 μB per atom
- Space group: C2/m (12)

Cell lengths 6.1364, 6.1364, 11.7249 Å; angles 94.99, 94.99, 119.95 degrees
Atoms (fractional coordinates):
Er 0.5000 0.5000 0.5000
Er 0.1666 0.8334 0.5000
Er 0.8334 0.1666 0.5000
Tb 0.4160 0.0838 0.2512
Tb 0.7515 0.7515 0.2511
Tb 0.0838 0.4160 0.2512
Tb 0.9162 0.5840 0.7488
Tb 0.5840 0.9162 0.7488
Tb 0.2485 0.2485 0.7489
Y 0.6667 0.3333 0.0000
Y 0.3333 0.6667 0.0000
Tm 0.0000 0.0000 0.0000

---

No. 8
VASP calculation (PBE) on a relaxed Tb4YEr2Tm2 crystal.

Properties
- V: 282 Å³/cell
- Formation energy: 0.01 eV/atom
- Total magnetic moment: 0.000 μB per atom
- Space group: C2/m (12)

Cell lengths 3.5697, 9.4413, 9.4652 Å; angles 115.30, 90.00, 100.90 degrees
Atoms (fractional coordinates):
Er 0.1485 0.2970 0.6687
Er 0.8515 0.7030 0.3313
Tm 0.6676 0.3351 0.9994
Tm 0.3324 0.6649 0.0006
Y 0.0000 0.0000 0.0000
Tb 0.1855 0.3709 0.3333
Tb 0.5187 0.0374 0.3357
Tb 0.8145 0.6291 0.6667
Tb 0.4813 0.9626 0.6643

---

No. 9
VASP calculation (PBE) on a relaxed Tb5YErTm2 crystal.

Properties
- V: 583 Å³/cell
- Formation energy: 0.16 eV/atom
- Total magnetic moment: 0.000 μB per atom
- Space group: Cmc2_1 (36)

Cell lengths 5.5744, 10.3288, 10.5120 Å; angles 90.00, 90.00, 105.66 degrees
Atoms (fractional coordinates):
Tb 0.9828 0.9657 0.5217
Tb 0.6119 0.2238 0.5233
Tb 0.7003 0.4007 0.2085
Tb 0.5205 0.0411 0.2400
Tb 0.2801 0.5602 0.3103
Tb 0.3881 0.7762 0.0233
Tb 0.2997 0.5993 0.7085
Tb 0.0172 0.0343 0.0217
Tb 0.7199 0.4398 0.8103
Tb 0.4795 0.9589 0.7400
Er 0.1990 0.3980 0.0116
Er 0.8010 0.6020 0.5116
Y 0.4115 0.8230 0.4560
Y 0.5885 0.1770 0.9560
Tm 0.8865 0.7730 0.8147
Tm 0.8892 0.7785 0.2380
Tm 0.1108 0.2215 0.7380
Tm 0.1135 0.2270 0.3147

---

No. 10
VASP calculation (PBE) on a relaxed Tb3Y2Er6Tm crystal.

Properties
- V: 373 Å³/cell
- Formation energy: 0.02 eV/atom
- Total magnetic moment: 0.000 μB per atom
- Space group: C2/m (12)

Cell lengths 6.1111, 6.1111, 11.6931 Å; angles 94.99, 94.99, 119.94 degrees
Atoms (fractional coordinates):
Er 0.0829 0.4154 0.2496
Er 0.5846 0.9171 0.7504
Er 0.9171 0.5846 0.7504
Er 0.7506 0.7506 0.2497
Er 0.2494 0.2494 0.7503
Er 0.4154 0.0829 0.2496
Y 0.3334 0.6666 0.0000
Y 0.6666 0.3334 0.0000
Tb 0.5000 0.5000 0.5000
Tb 0.1667 0.8333 0.5000
Tb 0.8333 0.1667 0.5000
Tm 0.0000 0.0000 0.0000

---

No. 11
VASP calculation (PBE) on a relaxed Tb5YEr2Tm crystal.

Properties
- V: 583 Å³/cell
- Formation energy: 0.16 eV/atom
- Total magnetic moment: 0.000 μB per atom
- Space group: Cmc2_1 (36)

Cell lengths 5.5792, 10.3256, 10.5155 Å; angles 90.00, 90.00, 105.67 degrees
Atoms (fractional coordinates):
Tb 0.4799 0.9598 0.7400
Tb 0.7202 0.4403 0.8111
Tb 0.5201 0.0402 0.2400
Tb 0.6130 0.2259 0.5227
Tb 0.0174 0.0347 0.0211
Tb 0.3870 0.7741 0.0227
Tb 0.2997 0.5994 0.7087
Tb 0.2798 0.5597 0.3111
Tb 0.9826 0.9653 0.5211
Tb 0.7003 0.4006 0.2087
Er 0.1132 0.2265 0.3146
Er 0.1111 0.2223 0.7373
Er 0.8889 0.7777 0.2373
Er 0.8868 0.7735 0.8146
Y 0.4113 0.8226 0.4567
Y 0.5887 0.1774 0.9567
Tm 0.8010 0.6021 0.5118
Tm 0.1990 0.3979 0.0118

---

No. 12
VASP calculation (PBE) on a relaxed TbY6Er3Tm2 crystal.

Properties
- V: 376 Å³/cell
- Formation energy: 0.03 eV/atom
- Total magnetic moment: 0.000 μB per atom
- Space group: C2/m (12)

Cell lengths 6.1287, 6.1287, 11.7383 Å; angles 94.98, 94.98, 119.93 degrees
Atoms (fractional coordinates):
Tm 0.6666 0.3334 0.0000
Tm 0.3334 0.6666 0.0000
Y 0.4173 0.0836 0.2501
Y 0.9164 0.5827 0.7499
Y 0.7500 0.7500 0.2500
Y 0.0836 0.4173 0.2501
Y 0.2500 0.2500 0.7500
Y 0.5827 0.9164 0.7499
Tb 0.0000 0.0000 0.0000
Er 0.1669 0.8331 0.5000
Er 0.5000 0.5000 0.5000
Er 0.8331 0.1669 0.5000

---

No. 13
VASP calculation (PBE) on a relaxed Tb2Y6ErTm3 crystal.

Properties
- V: 377 Å³/cell
- Formation energy: 0.03 eV/atom
- Total magnetic moment: 0.000 μB per atom
- Space group: C2/m (12)

Cell lengths 6.1343, 6.1343, 11.7482 Å; angles 94.98, 94.98, 119.93 degrees
Atoms (fractional coordinates):
Y 0.5829 0.9160 0.7487
Y 0.9160 0.5829 0.7487
Y 0.0840 0.4171 0.2513
Y 0.4171 0.0840 0.2513
Y 0.2490 0.2490 0.7486
Y 0.7510 0.7510 0.2514
Tm 0.5000 0.5000 0.5000
Tm 0.1666 0.8334 0.5000
Tm 0.8334 0.1666 0.5000
Er 0.0000 0.0000 0.0000
Tb 0.6667 0.3333 0.0000
Tb 0.3333 0.6667 0.0000

---

No. 14
VASP calculation (PBE) on a relaxed Tb2Y3Er6Tm crystal.

Properties
- V: 373 Å³/cell
- Formation energy: 0.02 eV/atom
- Total magnetic moment: 0.000 μB per atom
- Space group: C2/m (12)

Cell lengths 6.1107, 6.1107, 11.7027 Å; angles 94.98, 94.98, 119.94 degrees
Atoms (fractional coordinates):
Er 0.9172 0.5842 0.7514
Er 0.4158 0.0828 0.2486
Er 0.2502 0.2502 0.7512
Er 0.7498 0.7498 0.2488
Er 0.0828 0.4158 0.2486
Er 0.5842 0.9172 0.7514
Y 0.5000 0.5000 0.5000
Y 0.8334 0.1666 0.5000
Y 0.1666 0.8334 0.5000
Tm 0.0000 0.0000 0.0000
Tb 0.6666 0.3334 0.0000
Tb 0.3334 0.6666 0.0000

---

No. 15
VASP calculation (PBE) on a relaxed Tb3Y6ErTm2 crystal.

Properties
- V: 379 Å³/cell
- Formation energy: 0.02 eV/atom
- Total magnetic moment: 0.000 μB per atom
- Space group: C2/m (12)

Cell lengths 6.1456, 6.1456, 11.7653 Å; angles 94.98, 94.98, 119.94 degrees
Atoms (fractional coordinates):
Tb 0.8332 0.1668 0.5000
Tb 0.5000 0.5000 0.5000
Tb 0.1668 0.8332 0.5000
Y 0.9172 0.5838 0.7517
Y 0.2506 0.2506 0.7516
Y 0.4162 0.0828 0.2483
Y 0.7494 0.7494 0.2484
Y 0.0828 0.4162 0.2483
Y 0.5838 0.9172 0.7517
Tm 0.6666 0.3334 0.0000
Tm 0.3334 0.6666 0.0000
Er 0.0000 0.0000 0.0000

---

No. 16
VASP calculation (PBE) on a relaxed TbY6Er2Tm crystal.

Properties
- V: 643 Å³/cell
- Formation energy: 0.12 eV/atom
- Total magnetic moment: 0.000 μB per atom
- Space group: C2/c (15)

Cell lengths 9.6042, 8.7308, 8.7308 Å; angles 117.37, 94.46, 94.46 degrees
Atoms (fractional coordinates):
Er 0.9544 0.7044 0.8057
Er 0.0456 0.2956 0.1943
Er 0.5456 0.1943 0.2956
Er 0.4544 0.8057 0.7044
Tb 0.7500 0.5928 0.4072
Tb 0.2500 0.4072 0.5928
Y 0.3810 0.5036 0.2934
Y 0.6190 0.4964 0.7066
Y 0.4443 0.2464 0.8795
Y 0.0557 0.1205 0.7536
Y 0.6833 0.0187 0.5714
Y 0.3167 0.9813 0.4286
Y 0.9443 0.8795 0.2464
Y 0.5557 0.7536 0.1205
Y 0.8810 0.2934 0.5036
Y 0.8167 0.4286 0.9813
Y 0.1190 0.7066 0.4964
Y 0.1833 0.5714 0.0187
Tm 0.7500 0.0238 0.9762
Tm 0.2500 0.9762 0.0238

---

No. 17
VASP calculation (PBE) on a relaxed Tb3Y6Er2Tm crystal.

Properties
- V: 380 Å³/cell
- Formation energy: 0.02 eV/atom
- Total magnetic moment: 0.000 μB per atom
- Space group: C2/m (12)

Cell lengths 6.1479, 6.1479, 11.7727 Å; angles 94.98, 94.98, 119.94 degrees
Atoms (fractional coordinates):
Y 0.9173 0.5839 0.7514
Y 0.4161 0.0827 0.2486
Y 0.5839 0.9173 0.7514
Y 0.2506 0.2506 0.7516
Y 0.0827 0.4161 0.2486
Y 0.7494 0.7494 0.2484
Er 0.6667 0.3333 0.0000
Er 0.3333 0.6667 0.0000
Tm 0.0000 0.0000 0.0000
Tb 0.1665 0.8335 0.5000
Tb 0.8335 0.1665 0.5000
Tb 0.5000 0.5000 0.5000

---

No. 18
VASP calculation (PBE) on a relaxed Tb4Y2Er2Tm crystal.

Properties
- V: 284 Å³/cell
- Formation energy: 0.01 eV/atom
- Total magnetic moment: 0.000 μB per atom
- Space group: C2/m (12)

Cell lengths 3.5782, 9.4657, 9.4935 Å; angles 115.30, 90.00, 100.89 degrees
Atoms (fractional coordinates):
Y 0.8520 0.7040 0.3328
Y 0.1480 0.2960 0.6672
Tb 0.4819 0.9637 0.6685
Tb 0.5181 0.0363 0.3315
Tb 0.8153 0.6306 0.6672
Tb 0.1847 0.3694 0.3328
Er 0.3334 0.6668 0.9991
Er 0.6666 0.3332 0.0009
Tm 0.0000 0.0000 0.0000

---

No. 19
VASP calculation (PBE) on a relaxed Tb2YEr4Tm2 crystal.

Properties
- V: 279 Å³/cell
- Formation energy: 0.00 eV/atom
- Total magnetic moment: 0.000 μB per atom
- Space group: C2/m (12)

Cell lengths 3.5580, 9.4088, 9.4284 Å; angles 115.31, 90.00, 100.90 degrees
Atoms (fractional coordinates):
Er 0.5189 0.0378 0.3345
Er 0.8146 0.6293 0.6658
Er 0.1854 0.3707 0.3342
Er 0.4811 0.9622 0.6655
Tm 0.3328 0.6656 0.9991
Tm 0.6672 0.3344 0.0009
Tb 0.1480 0.2960 0.6665
Tb 0.8520 0.7040 0.3335
Y 0.0000 0.0000 0.0000